(1)
{
  "formula": "Rb2MgTl12",
  "functional": "PBE",
  "state": "relaxed",
  "ef_ev_per_atom": 0.001,
  "spacegroup": "P4/nbm",
  "cell": [[7.3672, 0.0000, 0.0000], [0.0000, 7.3672, 0.0000], [0.0000, 0.0000, 19.2685]],
  "species": ["Rb", "Rb", "Rb", "Rb", "Mg", "Mg", "Tl", "Tl", "Tl", "Tl", "Tl", "Tl", "Tl", "Tl", "Tl", "Tl", "Tl", "Tl", "Tl", "Tl", "Tl", "Tl", "Tl", "Tl", "Tl", "Tl", "Tl", "Tl", "Tl", "Tl"],
  "fractional_positions": [[0.2500, 0.7500, 0.2489], [0.2500, 0.7500, 0.7511], [0.7500, 0.2500, 0.2489], [0.7500, 0.2500, 0.7511], [0.2500, 0.7500, 0.0000], [0.7500, 0.2500, 0.0000], [0.0006, 0.5006, 0.0849], [0.0006, 0.9994, 0.9151], [0.0862, 0.5862, 0.5661], [0.0862, 0.9138, 0.4339], [0.2500, 0.2500, 0.1802], [0.2500, 0.2500, 0.3449], [0.2500, 0.2500, 0.6551], [0.2500, 0.2500, 0.8198], [0.4138, 0.5862, 0.4339], [0.4138, 0.9138, 0.5661], [0.4994, 0.5006, 0.9151], [0.4994, 0.9994, 0.0849], [0.5006, 0.0006, 0.9151], [0.5006, 0.4994, 0.0849], [0.5862, 0.0862, 0.4339], [0.5862, 0.4138, 0.5661], [0.7500, 0.7500, 0.1802], [0.7500, 0.7500, 0.3449], [0.7500, 0.7500, 0.6551], [0.7500, 0.7500, 0.8198], [0.9138, 0.0862, 0.5661], [0.9138, 0.4138, 0.4339], [0.9994, 0.0006, 0.0849], [0.9994, 0.4994, 0.9151]]
}



(2)
{
  "formula": "RbMg2Tl",
  "functional": "PBE",
  "state": "relaxed",
  "polymorph_energy_mev_per_atom": 91.1,
  "ef_ev_per_atom": 0.271,
  "spacegroup": "R-3m",
  "cell": [[3.5525, 0.0000, 0.0000], [-1.7763, 3.0766, 0.0000], [0.0000, 0.0000, 36.1171]],
  "species": ["Rb", "Rb", "Rb", "Mg", "Mg", "Mg", "Mg", "Mg", "Mg", "Tl", "Tl", "Tl"],
  "fractional_positions": [[0.0000, 0.0000, 0.0000], [0.3333, 0.6667, 0.6667], [0.6667, 0.3333, 0.3333], [0.0000, 0.0000, 0.0985], [0.0000, 0.0000, 0.9015], [0.3333, 0.6667, 0.5682], [0.3333, 0.6667, 0.7651], [0.6667, 0.3333, 0.2349], [0.6667, 0.3333, 0.4318], [0.0000, 0.0000, 0.5000], [0.3333, 0.6667, 0.1667], [0.6667, 0.3333, 0.8333]]
}



(3)
{
  "formula": "Rb4MgTl5",
  "functional": "PBE",
  "state": "relaxed",
  "ef_ev_per_atom": -0.030,
  "spacegroup": "I4",
  "cell": [[-5.5537, 5.5537, 3.7201], [5.5537, -5.5537, 3.7201], [5.5537, 5.5537, -3.7201]],
  "species": ["Rb", "Rb", "Rb", "Rb", "Mg", "Tl", "Tl", "Tl", "Tl", "Tl"],
  "fractional_positions": [[0.0777, 0.6929, 0.7706], [0.3071, 0.0777, 0.3848], [0.6929, 0.9223, 0.6152], [0.9223, 0.3071, 0.2294], [0.2139, 0.2139, 0.0000], [0.3139, 0.4337, 0.7399], [0.4337, 0.6938, 0.1198], [0.5740, 0.3139, 0.8802], [0.6938, 0.5740, 0.2601], [0.8170, 0.8170, 0.0000]]
}



(4)
{
  "formula": "RbMg2Tl6",
  "functional": "PBE",
  "state": "relaxed",
  "polymorph_energy_mev_per_atom": 0.0,
  "ef_ev_per_atom": 0.021,
  "spacegroup": "Immm",
  "cell": [[-1.7370, 4.6892, 8.4082], [1.7370, -4.6892, 8.4082], [1.7370, 4.6892, -8.4082]],
  "species": ["Rb", "Mg", "Mg", "Tl", "Tl", "Tl", "Tl", "Tl", "Tl"],
  "fractional_positions": [[0.0000, 0.0000, 0.0000], [0.3447, 0.8447, 0.5000], [0.6553, 0.1553, 0.5000], [0.0104, 0.3245, 0.6859], [0.3402, 0.5000, 0.8402], [0.3614, 0.6755, 0.6859], [0.6386, 0.3245, 0.3141], [0.6598, 0.5000, 0.1598], [0.9896, 0.6755, 0.3141]]
}



(5)
{
  "formula": "Rb4MgTl4",
  "functional": "PBE",
  "state": "relaxed",
  "ef_ev_per_atom": 0.108,
  "spacegroup": "I-42m",
  "cell": [[-3.7429, 3.7429, 7.9907], [3.7429, -3.7429, 7.9907], [3.7429, 3.7429, -7.9907]],
  "species": ["Rb", "Rb", "Rb", "Rb", "Mg", "Tl", "Tl", "Tl", "Tl"],
  "fractional_positions": [[0.1908, 0.1908, 0.6246], [0.4338, 0.8092, 0.0000], [0.5662, 0.5662, 0.3754], [0.8092, 0.4338, 0.0000], [0.0000, 0.0000, 0.0000], [0.0219, 0.6830, 0.0000], [0.3170, 0.3170, 0.3389], [0.6830, 0.0219, 0.0000], [0.9781, 0.9781, 0.6611]]
}



(6)
{
  "formula": "RbMg2Tl6",
  "functional": "PBE",
  "state": "relaxed",
  "polymorph_energy_mev_per_atom": 166.3,
  "ef_ev_per_atom": 0.187,
  "spacegroup": "Fd-3m",
  "cell": [[0.0000, 6.9772, 6.9772], [6.9772, 0.0000, 6.9772], [6.9772, 6.9772, 0.0000]],
  "species": ["Rb", "Rb", "Mg", "Mg", "Mg", "Mg", "Tl", "Tl", "Tl", "Tl", "Tl", "Tl", "Tl", "Tl", "Tl", "Tl", "Tl", "Tl"],
  "fractional_positions": [[0.1250, 0.1250, 0.1250], [0.8750, 0.8750, 0.8750], [0.0000, 0.5000, 0.5000], [0.5000, 0.0000, 0.5000], [0.5000, 0.5000, 0.0000], [0.5000, 0.5000, 0.5000], [0.1323, 0.1323, 0.6177], [0.1323, 0.6177, 0.1323], [0.1323, 0.6177, 0.6177], [0.3823, 0.3823, 0.8677], [0.3823, 0.8677, 0.3823], [0.3823, 0.8677, 0.8677], [0.6177, 0.1323, 0.1323], [0.6177, 0.1323, 0.6177], [0.6177, 0.6177, 0.1323], [0.8677, 0.3823, 0.3823], [0.8677, 0.3823, 0.8677], [0.8677, 0.8677, 0.3823]]
}



(7)
{
  "formula": "RbMgTl",
  "functional": "PBE",
  "state": "relaxed",
  "polymorph_energy_mev_per_atom": 77.3,
  "ef_ev_per_atom": 0.016,
  "spacegroup": "P1",
  "cell": [[5.5167, 0.0000, 0.0000], [2.3423, 5.4105, 0.0000], [1.8601, -0.4064, 7.9687]],
  "species": ["Rb", "Rb", "Mg", "Mg", "Tl", "Tl"],
  "fractional_positions": [[0.0000, 0.0000, 0.0000], [0.2575, 0.4439, 0.2816], [0.8039, 0.5508, 0.7227], [0.8736, 0.0336, 0.5607], [0.3507, 0.3922, 0.7757], [0.4656, 0.8665, 0.4878]]
}



(8)
{
  "formula": "Rb2Mg5Tl12",
  "functional": "PBE",
  "state": "relaxed",
  "ef_ev_per_atom": -0.032,
  "spacegroup": "R-3m",
  "cell": [[5.5301, 3.1928, 5.5300], [-5.5301, 3.1928, 5.5300], [0.0000, -6.3856, 5.5300]],
  "species": ["Rb", "Rb", "Mg", "Mg", "Mg", "Mg", "Mg", "Tl", "Tl", "Tl", "Tl", "Tl", "Tl", "Tl", "Tl", "Tl", "Tl", "Tl", "Tl"],
  "fractional_positions": [[0.1438, 0.1438, 0.1438], [0.8562, 0.8562, 0.8562], [0.0000, 0.5000, 0.5000], [0.4026, 0.4026, 0.4026], [0.5000, 0.0000, 0.5000], [0.5000, 0.5000, 0.0000], [0.5974, 0.5974, 0.5974], [0.1609, 0.1609, 0.6236], [0.1609, 0.6236, 0.1609], [0.2102, 0.5000, 0.7898], [0.2102, 0.7898, 0.5000], [0.3764, 0.8391, 0.8391], [0.5000, 0.2102, 0.7898], [0.5000, 0.7898, 0.2102], [0.6236, 0.1609, 0.1609], [0.7898, 0.2102, 0.5000], [0.7898, 0.5000, 0.2102], [0.8391, 0.3764, 0.8391], [0.8391, 0.8391, 0.3764]]
}



(9)
{
  "formula": "RbMgTl6",
  "functional": "PBE",
  "state": "relaxed",
  "polymorph_energy_mev_per_atom": 0.0,
  "ef_ev_per_atom": -0.027,
  "spacegroup": "R-3m",
  "cell": [[2.7029, 1.5605, 10.4919], [-2.7029, 1.5605, 10.4919], [0.0000, -3.1210, 10.4919]],
  "species": ["Rb", "Mg", "Tl", "Tl", "Tl", "Tl", "Tl", "Tl"],
  "fractional_positions": [[0.0000, 0.0000, 0.0000], [0.5000, 0.5000, 0.5000], [0.1349, 0.1349, 0.1349], [0.2433, 0.2433, 0.2433], [0.4018, 0.4018, 0.4018], [0.5982, 0.5982, 0.5982], [0.7567, 0.7567, 0.7567], [0.8651, 0.8651, 0.8651]]
}



(10)
{
  "formula": "Rb2MgTl7",
  "functional": "PBE",
  "state": "relaxed",
  "ef_ev_per_atom": -0.036,
  "spacegroup": "P-4m2",
  "cell": [[5.2344, 0.0000, 0.0000], [0.0000, 5.2344, 0.0000], [0.0000, 0.0000, 13.1139]],
  "species": ["Rb", "Rb", "Mg", "Tl", "Tl", "Tl", "Tl", "Tl", "Tl", "Tl"],
  "fractional_positions": [[0.0000, 0.5000, 0.2493], [0.5000, 0.0000, 0.7507], [0.5000, 0.5000, 0.0000], [0.0000, 0.0000, 0.0000], [0.0000, 0.0000, 0.5000], [0.0000, 0.5000, 0.6395], [0.0000, 0.5000, 0.8736], [0.5000, 0.0000, 0.1264], [0.5000, 0.0000, 0.3605], [0.5000, 0.5000, 0.5000]]
}



(11)
{
  "formula": "RbMg2Tl8",
  "functional": "PBE",
  "state": "relaxed",
  "polymorph_energy_mev_per_atom": 131.0,
  "ef_ev_per_atom": 0.152,
  "spacegroup": "P4/mmm",
  "cell": [[6.8089, 0.0000, 0.0000], [0.0000, 6.8089, 0.0000], [0.0000, 0.0000, 9.7058]],
  "species": ["Rb", "Mg", "Mg", "Tl", "Tl", "Tl", "Tl", "Tl", "Tl", "Tl", "Tl"],
  "fractional_positions": [[0.0000, 0.0000, 0.0000], [0.0000, 0.5000, 0.5000], [0.5000, 0.0000, 0.5000], [0.2547, 0.2547, 0.3111], [0.2547, 0.2547, 0.6889], [0.2547, 0.7453, 0.3111], [0.2547, 0.7453, 0.6889], [0.7453, 0.2547, 0.3111], [0.7453, 0.2547, 0.6889], [0.7453, 0.7453, 0.3111], [0.7453, 0.7453, 0.6889]]
}



(12)
{
  "formula": "RbMgTl",
  "functional": "PBE",
  "state": "relaxed",
  "polymorph_energy_mev_per_atom": 155.8,
  "ef_ev_per_atom": 0.094,
  "spacegroup": "P-6m2",
  "cell": [[5.6949, 0.0000, 0.0000], [-2.8474, 4.9319, 0.0000], [0.0000, 0.0000, 3.8355]],
  "species": ["Rb", "Mg", "Tl"],
  "fractional_positions": [[0.0000, 0.0000, 0.0000], [0.6667, 0.3333, 0.5000], [0.3333, 0.6667, 0.5000]]
}



(13)
{
  "formula": "RbMgTl",
  "functional": "PBE",
  "state": "relaxed",
  "polymorph_energy_mev_per_atom": 98.4,
  "ef_ev_per_atom": 0.037,
  "spacegroup": "Cc",
  "cell": [[10.7325, 0.0000, 0.0000], [0.0000, 8.7905, 0.0000], [-2.9885, 0.0000, 4.8527]],
  "species": ["Rb", "Rb", "Rb", "Rb", "Mg", "Mg", "Mg", "Mg", "Tl", "Tl", "Tl", "Tl"],
  "fractional_positions": [[0.0000, 0.1732, 0.0000], [0.0000, 0.8268, 0.5000], [0.5000, 0.3268, 0.5000], [0.5000, 0.6732, 0.0000], [0.1626, 0.4055, 0.6624], [0.1626, 0.5945, 0.1624], [0.6626, 0.0945, 0.1624], [0.6626, 0.9055, 0.6624], [0.3305, 0.0941, 0.8304], [0.3305, 0.9059, 0.3304], [0.8305, 0.4059, 0.3304], [0.8305, 0.5941, 0.8304]]
}



(14)
{
  "formula": "Rb2Mg2Tl",
  "functional": "PBE",
  "state": "relaxed",
  "ef_ev_per_atom": 0.130,
  "spacegroup": "P4/mbm",
  "cell": [[7.8780, 0.0000, 0.0000], [0.0000, 7.8780, 0.0000], [0.0000, 0.0000, 6.5242]],
  "species": ["Rb", "Rb", "Rb", "Rb", "Mg", "Mg", "Mg", "Mg", "Tl", "Tl"],
  "fractional_positions": [[0.1811, 0.3189, 0.0000], [0.3189, 0.8189, 0.0000], [0.6811, 0.1811, 0.0000], [0.8189, 0.6811, 0.0000], [0.1442, 0.6442, 0.5000], [0.3558, 0.1442, 0.5000], [0.6442, 0.8558, 0.5000], [0.8558, 0.3558, 0.5000], [0.0000, 0.0000, 0.5000], [0.5000, 0.5000, 0.5000]]
}



(15)
{
  "formula": "Rb3Mg2Tl7",
  "functional": "PBE",
  "state": "relaxed",
  "ef_ev_per_atom": -0.061,
  "spacegroup": "R-3m",
  "cell": [[3.4037, 1.9651, 10.2448], [-3.4037, 1.9651, 10.2448], [0.0000, -3.9303, 10.2448]],
  "species": ["Rb", "Rb", "Rb", "Mg", "Mg", "Tl", "Tl", "Tl", "Tl", "Tl", "Tl", "Tl"],
  "fractional_positions": [[0.0000, 0.0000, 0.0000], [0.1421, 0.1421, 0.1421], [0.8579, 0.8579, 0.8579], [0.3345, 0.3345, 0.3345], [0.6655, 0.6655, 0.6655], [0.0743, 0.5810, 0.5810], [0.4190, 0.4190, 0.9257], [0.4190, 0.9257, 0.4190], [0.5000, 0.5000, 0.5000], [0.5810, 0.0743, 0.5810], [0.5810, 0.5810, 0.0743], [0.9257, 0.4190, 0.4190]]
}



(16)
{
  "formula": "RbMg2Tl2",
  "functional": "PBE",
  "state": "relaxed",
  "polymorph_energy_mev_per_atom": 31.9,
  "ef_ev_per_atom": 0.015,
  "spacegroup": "Cmmm",
  "cell": [[5.0638, 0.0000, 0.0000], [0.0000, 8.3350, 0.0000], [0.0000, 0.0000, 8.7587]],
  "species": ["Rb", "Rb", "Mg", "Mg", "Mg", "Mg", "Tl", "Tl", "Tl", "Tl"],
  "fractional_positions": [[0.0000, 0.0000, 0.0000], [0.5000, 0.5000, 0.0000], [0.0000, 0.1699, 0.5000], [0.0000, 0.8301, 0.5000], [0.5000, 0.3301, 0.5000], [0.5000, 0.6699, 0.5000], [0.0000, 0.5000, 0.3077], [0.0000, 0.5000, 0.6923], [0.5000, 0.0000, 0.3077], [0.5000, 0.0000, 0.6923]]
}



(17)
{
  "formula": "RbMg2Tl8",
  "functional": "PBE",
  "state": "relaxed",
  "polymorph_energy_mev_per_atom": 0.0,
  "ef_ev_per_atom": 0.021,
  "spacegroup": "P4/mmm",
  "cell": [[5.4953, 0.0000, 0.0000], [0.0000, 5.4953, 0.0000], [0.0000, 0.0000, 12.4927]],
  "species": ["Rb", "Mg", "Mg", "Tl", "Tl", "Tl", "Tl", "Tl", "Tl", "Tl", "Tl"],
  "fractional_positions": [[0.0000, 0.0000, 0.0000], [0.0000, 0.0000, 0.3600], [0.0000, 0.0000, 0.6400], [0.0000, 0.5000, 0.2134], [0.0000, 0.5000, 0.5000], [0.0000, 0.5000, 0.7866], [0.5000, 0.0000, 0.2134], [0.5000, 0.0000, 0.5000], [0.5000, 0.0000, 0.7866], [0.5000, 0.5000, 0.3563], [0.5000, 0.5000, 0.6437]]
}



(18)
{
  "formula": "Rb2Mg2Tl15",
  "functional": "PBE",
  "state": "relaxed",
  "ef_ev_per_atom": 0.000,
  "spacegroup": "R-3m",
  "cell": [[5.6352, 3.2535, 5.7450], [-5.6352, 3.2535, 5.7450], [0.0000, -6.5070, 5.7450]],
  "species": ["Rb", "Rb", "Mg", "Mg", "Tl", "Tl", "Tl", "Tl", "Tl", "Tl", "Tl", "Tl", "Tl", "Tl", "Tl", "Tl", "Tl", "Tl", "Tl"],
  "fractional_positions": [[0.1582, 0.1582, 0.1582], [0.8418, 0.8418, 0.8418], [0.4049, 0.4049, 0.4049], [0.5951, 0.5951, 0.5951], [0.0000, 0.5000, 0.5000], [0.1457, 0.1457, 0.6417], [0.1457, 0.6417, 0.1457], [0.2134, 0.5000, 0.7866], [0.2134, 0.7866, 0.5000], [0.3583, 0.8543, 0.8543], [0.5000, 0.0000, 0.5000], [0.5000, 0.2134, 0.7866], [0.5000, 0.5000, 0.0000], [0.5000, 0.7866, 0.2134], [0.6417, 0.1457, 0.1457], [0.7866, 0.2134, 0.5000], [0.7866, 0.5000, 0.2134], [0.8543, 0.3583, 0.8543], [0.8543, 0.8543, 0.3583]]
}



(19)
{
  "formula": "Rb3Mg2Tl8",
  "functional": "PBE",
  "state": "relaxed",
  "ef_ev_per_atom": 0.037,
  "spacegroup": "C2/m",
  "cell": [[6.3083, -3.3727, 0.0000], [6.3083, 3.3727, 0.0000], [-2.7027, 0.0000, 11.8684]],
  "species": ["Rb", "Rb", "Rb", "Mg", "Mg", "Tl", "Tl", "Tl", "Tl", "Tl", "Tl", "Tl", "Tl"],
  "fractional_positions": [[0.0000, 0.0000, 0.0000], [0.2242, 0.2242, 0.7640], [0.7758, 0.7758, 0.2360], [0.4491, 0.4491, 0.3155], [0.5509, 0.5509, 0.6845], [0.1324, 0.6244, 0.5204], [0.1900, 0.1900, 0.2867], [0.3107, 0.3107, 0.0706], [0.3756, 0.8676, 0.4796], [0.6244, 0.1324, 0.5204], [0.6893, 0.6893, 0.9294], [0.8100, 0.8100, 0.7133], [0.8676, 0.3756, 0.4796]]
}



(20)
{
  "formula": "RbMgTl",
  "functional": "PBE",
  "state": "relaxed",
  "polymorph_energy_mev_per_atom": 30.1,
  "ef_ev_per_atom": -0.032,
  "spacegroup": "P4/nmm",
  "cell": [[5.0925, 0.0000, 0.0000], [0.0000, 5.0925, 0.0000], [0.0000, 0.0000, 8.9089]],
  "species": ["Rb", "Rb", "Mg", "Mg", "Tl", "Tl"],
  "fractional_positions": [[0.2500, 0.2500, 0.1506], [0.7500, 0.7500, 0.8494], [0.2500, 0.7500, 0.5000], [0.7500, 0.2500, 0.5000], [0.2500, 0.2500, 0.6828], [0.7500, 0.7500, 0.3172]]
}